1.
VASP calculation (PBE) on a geometry-optimized AlInAu2S4 structure.

Summary:
N(E_F): 1.41 states/eV/cell
space-group type: No. 5
formation energy without anion corrections: -0.4324 eV per atom
calculated volume: 184.3 Å³ per cell

a = 5.7550 Å, b = 5.7541 Å, c = 6.8934 Å
α = 114.67°, β = 114.67°, γ = 89.99°
Last column: nearest neighbours and their distance in Å.
Fractional positions:
Al  0.7360  0.7360  0.4722  4 S 2.29
S  0.6233  0.6204  0.7061  1 Al 2.29, 1 In 2.51, 2 Au 2.53-2.55
S  0.0825  0.0854  0.7057  1 Al 2.29, 1 In 2.51, 2 Au 2.53-2.55
S  0.8513  0.3892  0.2381  1 Al 2.29, 1 In 2.51, 2 Au 2.53-2.54
S  0.3867  0.8485  0.2378  1 Al 2.29, 1 In 2.51, 2 Au 2.53-2.54
Au  0.2358  0.2354  0.4708  4 S 2.54-2.55
Au  0.4856  0.9862  0.9713  4 S 2.53
In  0.9860  0.4859  0.9721  4 S 2.51


2.
VASP calculation (PBE) on a geometry-optimized Ba5Sc structure.

Summary:
energy relative to the elements: 21.3 kJ/mol of atoms
energy above the most stable polymorph in this dataset: 60 meV per atom
N(E_F): 10.59 states/eV/cell
space-group type: No. 189
calculated volume: 315.3 Å³ per cell

a = 7.3272 Å, b = 7.3272 Å, c = 6.7815 Å
α = 90.00°, β = 90.00°, γ = 120.00°
Last column: nearest neighbours and their distance in Å.
Fractional positions:
Ba  0.3333  0.6667  0.5000  9 Ba 4.22-4.23, 3 Sc 4.23
Ba  0.6667  0.3333  0.5000  9 Ba 4.22-4.23, 3 Sc 4.23
Ba  0.3170  0.3170  0.0000  10 Ba 4.02-4.34, 2 Sc 4.11
Ba  0.0000  0.6830  0.0000  10 Ba 4.02-4.34, 2 Sc 4.11
Ba  0.6830  0.0000  0.0000  10 Ba 4.02-4.34, 2 Sc 4.11
Sc  0.0000  0.0000  0.5000  12 Ba 4.11-4.23


3.
VASP calculation (PBE) on a geometry-optimized Ba6AlAu2 structure.

Summary:
energy relative to the elements: -34.0 kJ/mol of atoms
N(E_F): 8.47 states/eV/cell
space-group type: No. 69
calculated volume: 390.7 Å³ per cell

a = 5.8602 Å, b = 8.1531 Å, c = 9.2397 Å
α = 83.46°, β = 71.51°, γ = 68.94°
Last column: nearest neighbours and their distance in Å.
Fractional positions:
Ba  0.6292  0.2416  0.5000  2 Au 3.43, 2 Al 3.53
Ba  0.9553  0.2513  0.8381  3 Au 3.49-3.54, 1 Al 3.52, 1 Ba 3.78
Ba  0.0447  0.7487  0.1619  3 Au 3.49-3.54, 1 Al 3.52, 1 Ba 3.78
Ba  0.3708  0.7584  0.5000  2 Au 3.43, 2 Al 3.53
Ba  0.2934  0.2513  0.1619  3 Au 3.49-3.54, 1 Al 3.52, 1 Ba 3.78
Ba  0.7066  0.7487  0.8381  3 Au 3.49-3.54, 1 Al 3.52, 1 Ba 3.78
Au  0.6603  0.5000  0.1794  8 Ba 3.43-3.54
Au  0.3397  0.5000  0.8206  8 Ba 3.43-3.54
Al  0.0000  0.5000  0.5000  8 Ba 3.52-3.53


4.
VASP calculation (PBE) on a geometry-optimized MgNpOsO6 structure.

Summary:
N(E_F): 7.73 states/eV/cell
space-group type: No. 163
formation energy without anion corrections: -2.0064 eV per atom
calculated volume: 213.2 Å³ per cell

a = 5.2677 Å, b = 5.2677 Å, c = 8.8713 Å
α = 90.00°, β = 90.00°, γ = 120.00°
Last column: nearest neighbours and their distance in Å.
Fractional positions:
O  0.0020  0.6841  0.8749  1 Os 2.00, 1 Np 2.11, 1 Mg 2.12
O  0.9980  0.3159  0.1251  1 Os 2.00, 1 Np 2.11, 1 Mg 2.12
O  0.3159  0.3179  0.8749  1 Os 2.00, 1 Np 2.11, 1 Mg 2.12
O  0.3159  0.9980  0.6251  1 Os 2.00, 1 Np 2.11, 1 Mg 2.12
O  0.9980  0.6821  0.3749  1 Os 2.00, 1 Np 2.11, 1 Mg 2.12
O  0.0020  0.3179  0.6251  1 Os 2.00, 1 Np 2.11, 1 Mg 2.12
O  0.6841  0.6821  0.1251  1 Os 2.00, 1 Np 2.11, 1 Mg 2.12
O  0.6821  0.6841  0.6251  1 Os 2.00, 1 Np 2.11, 1 Mg 2.12
O  0.3179  0.0020  0.1251  1 Os 2.00, 1 Np 2.11, 1 Mg 2.12
O  0.6841  0.0020  0.3749  1 Os 2.00, 1 Np 2.11, 1 Mg 2.12
O  0.6821  0.9980  0.8749  1 Os 2.00, 1 Np 2.11, 1 Mg 2.12
O  0.3179  0.3159  0.3749  1 Os 2.00, 1 Np 2.11, 1 Mg 2.12
Os  0.0000  0.0000  0.5000  6 O 2.00
Os  0.0000  0.0000  0.0000  6 O 2.00
Mg  0.6667  0.3333  0.7500  6 O 2.12
Mg  0.3333  0.6667  0.2500  6 O 2.12
Np  0.6667  0.3333  0.2500  6 O 2.11
Np  0.3333  0.6667  0.7500  6 O 2.11


5.
VASP calculation (PBE) on a geometry-optimized Pu2MgZrP4 structure.

Summary:
energy relative to the elements: -97.7 kJ/mol of atoms
N(E_F): 20.60 states/eV/cell
space-group type: No. 10
calculated volume: 164.8 Å³ per cell

a = 3.9122 Å, b = 6.8104 Å, c = 6.6008 Å
α = 110.43°, β = 90.00°, γ = 90.00°
Last column: nearest neighbours and their distance in Å.
Fractional positions:
P  0.5000  0.2431  0.2409  2 Zr 2.69, 1 Mg 2.74, 3 Pu 2.76-2.78
P  0.5000  0.7569  0.7591  2 Zr 2.69, 1 Mg 2.74, 3 Pu 2.76-2.78
P  0.0000  0.7529  0.2394  1 Zr 2.68, 2 Mg 2.72, 3 Pu 2.76-2.83
P  0.0000  0.2471  0.7606  1 Zr 2.68, 2 Mg 2.72, 3 Pu 2.76-2.83
Zr  0.0000  0.0000  0.0000  6 P 2.68-2.69
Pu  0.5000  0.0000  0.5000  6 P 2.76
Pu  0.0000  0.5000  0.5000  6 P 2.78-2.83
Mg  0.5000  0.5000  0.0000  6 P 2.72-2.74


6.
VASP calculation (PBE) on a geometry-optimized KReRh structure.

Summary:
energy relative to the elements: 271.5 kJ/mol of atoms
energy above the most stable polymorph in this dataset: 2125 meV per atom
N(E_F): 3.02 states/eV/cell
space-group type: No. 216
calculated volume: 70.7 Å³ per cell

a = 4.6414 Å, b = 4.6414 Å, c = 4.6414 Å
α = 60.00°, β = 60.00°, γ = 60.00°
Last column: nearest neighbours and their distance in Å.
Fractional positions:
Rh  0.5000  0.5000  0.5000  4 K 2.84
K  0.2500  0.2500  0.2500  4 Rh 2.84, 4 Re 2.84
Re  0.0000  0.0000  0.0000  4 K 2.84


Copy entry 4 word for word.
VASP calculation (PBE) on a geometry-optimized MgNpOsO6 structure.

Summary:
N(E_F): 7.73 states/eV/cell
space-group type: No. 163
formation energy without anion corrections: -2.0064 eV per atom
calculated volume: 213.2 Å³ per cell

a = 5.2677 Å, b = 5.2677 Å, c = 8.8713 Å
α = 90.00°, β = 90.00°, γ = 120.00°
Last column: nearest neighbours and their distance in Å.
Fractional positions:
O  0.0020  0.6841  0.8749  1 Os 2.00, 1 Np 2.11, 1 Mg 2.12
O  0.9980  0.3159  0.1251  1 Os 2.00, 1 Np 2.11, 1 Mg 2.12
O  0.3159  0.3179  0.8749  1 Os 2.00, 1 Np 2.11, 1 Mg 2.12
O  0.3159  0.9980  0.6251  1 Os 2.00, 1 Np 2.11, 1 Mg 2.12
O  0.9980  0.6821  0.3749  1 Os 2.00, 1 Np 2.11, 1 Mg 2.12
O  0.0020  0.3179  0.6251  1 Os 2.00, 1 Np 2.11, 1 Mg 2.12
O  0.6841  0.6821  0.1251  1 Os 2.00, 1 Np 2.11, 1 Mg 2.12
O  0.6821  0.6841  0.6251  1 Os 2.00, 1 Np 2.11, 1 Mg 2.12
O  0.3179  0.0020  0.1251  1 Os 2.00, 1 Np 2.11, 1 Mg 2.12
O  0.6841  0.0020  0.3749  1 Os 2.00, 1 Np 2.11, 1 Mg 2.12
O  0.6821  0.9980  0.8749  1 Os 2.00, 1 Np 2.11, 1 Mg 2.12
O  0.3179  0.3159  0.3749  1 Os 2.00, 1 Np 2.11, 1 Mg 2.12
Os  0.0000  0.0000  0.5000  6 O 2.00
Os  0.0000  0.0000  0.0000  6 O 2.00
Mg  0.6667  0.3333  0.7500  6 O 2.12
Mg  0.3333  0.6667  0.2500  6 O 2.12
Np  0.6667  0.3333  0.2500  6 O 2.11
Np  0.3333  0.6667  0.7500  6 O 2.11


Q: Which of these has the lowest calculated volume?
A: KReRh


Q: Look up the N(E_F) of the second one.
A: 10.59 states/eV/cell